Below is K2PW at its PBEsol-relaxed geometry, with properties calculated at the SCAN level.

Cell: 5.356 5.356 5.356 Å, 60.00 60.00 60.00°
Sites, in units of the cell vectors:
K (0.250, 0.250, 0.250)
K (0.750, 0.750, 0.750)
P (0.000, 0.000, 0.000)
W (0.500, 0.500, 0.500)

***

Below is Re2NiRh at its PBEsol-relaxed geometry, with properties calculated at the SCAN level.

Cell: 3.684 3.684 4.708 Å, 113.03 113.03 90.00°
Sites, in units of the cell vectors:
Ni (0.500, 0.500, 0.000)
Re (0.250, 0.750, 0.500)
Re (0.750, 0.250, 0.500)
Rh (0.000, 0.000, 0.000)

***

no.,energy of formation from the pure elements (eV per atom),total moment (μB/atom)
1,1.58,1.232
2,0.04,0.200